DFT (GGA-PBE) results for a relaxed Cd2InAg4 crystal.

Cell lengths 3.1099, 3.1039, 16.6556 Å; angles 95.45, 90.00, 120.06 degrees
Fractional coordinates of all 7 atoms:
Ag 0.0038 0.0076 0.2372
Ag 0.5243 0.0487 0.8137
Ag 0.4237 0.8474 0.5228
Ag 0.9070 0.8139 0.9516
Cd 0.6215 0.2430 0.0941
Cd 0.7133 0.4267 0.3797
In 0.8078 0.6156 0.6688

Calculated values
Crystal system ... monoclinic
DFT formation energy ... 0.01 eV/atom
Electronic total energy ... -15.9 eV for the cell shown
Energy above the lowest structure with this stoichiometry ... 36.3 meV/atom
Theoretical density ... 9258 kg/m3